DFT (GGA-PBE) results for an optimized crystal structure of K4AlP.

a b c (Å): 6.270 6.270 10.657
angles (deg): 90.00 90.00 90.00
Element x y z (fractional)
Al1 0.500 0.500 0.500
K1 0.500 0.500 0.826
K2 0.500 0.500 0.174
K3 0.500 0.000 0.500
K4 0.000 0.500 0.500
P1 0.000 0.000 0.000

Output
Crystal system   tetragonal
Volume   69.837 Å³ per atom
Energy   -1.534 eV per atom
Formation energy   0.7232 eV per atom